one:
Ge3Ru2 after structural relaxation. Source: Alexandria via LeMat-Bulk, functional PBEsol.

Lattice parameters (Å, degrees): 5.707 5.707 9.215 90.00 90.00 90.00
Fractional coordinates of all 20 atoms:
Ge 0.150 0.283 0.415
Ge 0.150 0.717 0.915
Ge 0.283 0.150 0.085
Ge 0.283 0.850 0.585
Ge 0.328 0.328 0.750
Ge 0.328 0.672 0.250
Ge 0.672 0.328 0.250
Ge 0.672 0.672 0.750
Ge 0.717 0.150 0.585
Ge 0.717 0.850 0.085
Ge 0.850 0.283 0.915
Ge 0.850 0.717 0.415
Ru 0.000 0.000 0.250
Ru 0.000 0.000 0.750
Ru 0.000 0.500 0.125
Ru 0.000 0.500 0.625
Ru 0.500 0.000 0.375
Ru 0.500 0.000 0.875
Ru 0.500 0.500 0.000
Ru 0.500 0.500 0.500

Output
- M_tot: 0.000 μB per formula unit

***

two:
Ge3Ru2 after structural relaxation. Source: Alexandria via LeMat-Bulk, functional PBEsol.

Lattice parameters (Å, degrees): 11.389 9.213 5.694 90.00 90.00 90.00
Fractional coordinates of all 40 atoms:
Ge 0.073 0.217 0.040
Ge 0.073 0.783 0.540
Ge 0.134 0.398 0.600
Ge 0.134 0.602 0.100
Ge 0.175 0.067 0.413
Ge 0.175 0.933 0.913
Ge 0.325 0.433 0.913
Ge 0.325 0.567 0.413
Ge 0.366 0.102 0.100
Ge 0.366 0.898 0.600
Ge 0.427 0.283 0.540
Ge 0.427 0.717 0.040
Ge 0.573 0.283 0.960
Ge 0.573 0.717 0.460
Ge 0.634 0.102 0.400
Ge 0.634 0.898 0.900
Ge 0.675 0.433 0.587
Ge 0.675 0.567 0.087
Ge 0.825 0.067 0.087
Ge 0.825 0.933 0.587
Ge 0.866 0.398 0.900
Ge 0.866 0.602 0.400
Ge 0.927 0.217 0.460
Ge 0.927 0.783 0.960
Ru 0.000 0.044 0.750
Ru 0.000 0.427 0.250
Ru 0.000 0.573 0.750
Ru 0.000 0.956 0.250
Ru 0.247 0.187 0.760
Ru 0.247 0.813 0.260
Ru 0.253 0.313 0.260
Ru 0.253 0.687 0.760
Ru 0.500 0.073 0.750
Ru 0.500 0.456 0.250
Ru 0.500 0.544 0.750
Ru 0.500 0.927 0.250
Ru 0.747 0.313 0.240
Ru 0.747 0.687 0.740
Ru 0.753 0.187 0.740
Ru 0.753 0.813 0.240

Output
- M_tot: 0.000 μB per formula unit

***

Quick one: least stable of them? one

***

one:
SnGeS3 after structural relaxation. Source: Alexandria via LeMat-Bulk, functional PBEsol.

Lattice parameters (Å, degrees): 4.675 4.675 4.675 90.00 90.00 90.00
Fractional coordinates of all 5 atoms:
Sn 0.000 0.000 0.000
Ge 0.500 0.500 0.500
S 0.000 0.500 0.500
S 0.500 0.000 0.500
S 0.500 0.500 0.000

Output
- M_tot: 0.000 μB per formula unit

***

two:
SnGeS3 after structural relaxation. Source: Alexandria via LeMat-Bulk, functional PBEsol.

Lattice parameters (Å, degrees): 7.204 10.026 6.820 90.00 105.18 90.00
Fractional coordinates of all 20 atoms:
Sn 0.127 0.086 0.270
Sn 0.127 0.414 0.770
Sn 0.873 0.586 0.230
Sn 0.873 0.914 0.730
Ge 0.322 0.707 0.498
Ge 0.322 0.793 0.998
Ge 0.678 0.207 0.002
Ge 0.678 0.293 0.502
S 0.053 0.677 0.921
S 0.053 0.823 0.421
S 0.224 0.501 0.411
S 0.224 0.999 0.911
S 0.483 0.213 0.684
S 0.483 0.287 0.184
S 0.517 0.713 0.816
S 0.517 0.787 0.316
S 0.776 0.001 0.089
S 0.776 0.499 0.589
S 0.947 0.177 0.579
S 0.947 0.323 0.079

Output
- M_tot: 0.000 μB per formula unit

***

Quick one: least stable of them? one

***

one:
Ge2Sb2Te5 after structural relaxation. Source: Alexandria via LeMat-Bulk, functional PBEsol.

Lattice parameters (Å, degrees): 7.321 7.321 9.423 129.88 129.88 48.38
Fractional coordinates of all 9 atoms:
Ge 0.000 0.000 0.000
Ge 0.602 0.602 0.381
Sb 0.398 0.398 0.561
Sb 0.770 0.770 0.152
Te 0.085 0.085 0.364
Te 0.278 0.278 0.147
Te 0.478 0.478 0.963
Te 0.689 0.689 0.757
Te 0.882 0.882 0.564

Output
- M_tot: 0.000 μB per formula unit

***

two:
Ge2Sb2Te5 after structural relaxation. Source: Alexandria via LeMat-Bulk, functional PBEsol.

Lattice parameters (Å, degrees): 4.226 4.226 16.817 90.00 90.00 120.00
Fractional coordinates of all 9 atoms:
Ge 0.333 0.667 0.400
Ge 0.667 0.333 0.600
Sb 0.000 0.000 0.182
Sb 0.000 0.000 0.818
Te 0.000 0.000 0.500
Te 0.333 0.667 0.080
Te 0.333 0.667 0.699
Te 0.667 0.333 0.301
Te 0.667 0.333 0.920

Output
- M_tot: 0.000 μB per formula unit

***

Quick one: least stable of them? one